Here is Zr4As3 after structural relaxation from Alexandria. Energies are from PBE-GGA.

Cell: 5.632 5.632 5.095 Å, 90.00 90.00 120.00°
Sites, in units of the cell vectors:
Zr  0.000  0.000  0.241
Zr  0.000  0.000  0.759
Zr  0.333  0.667  0.000
Zr  0.667  0.333  0.000
As  0.000  0.500  0.500
As  0.500  0.000  0.500
As  0.500  0.500  0.500

Summary:
Space-group type: No. 191
Energy above the most stable polymorph in this dataset: 0.482 eV/atom
Volume: 20.00 Å³/atom
DFT total energy: -7.21 eV per atom
Total moment: 0.00 μB per cell
ΔE_f: -0.33 eV/atom



Here is Zr3As2 after structural relaxation from Alexandria. Energies are from PBE-GGA.

Cell: 4.251 4.251 6.843 Å, 90.00 90.00 120.00°
Sites, in units of the cell vectors:
Zr  0.000  0.000  0.000
Zr  0.333  0.667  0.356
Zr  0.667  0.333  0.644
As  0.333  0.667  0.789
As  0.667  0.333  0.211

Summary:
Space-group type: No. 164
Energy above the most stable polymorph in this dataset: 0.257 eV/atom
Volume: 21.42 Å³/atom
DFT total energy: -7.79 eV per atom
Total moment: 0.00 μB per cell
ΔE_f: -0.80 eV/atom



Here is Zr3As5 after structural relaxation from Alexandria. Energies are from PBE-GGA.

Cell: 5.612 5.612 4.979 Å, 90.00 90.00 100.59°
Sites, in units of the cell vectors:
Zr  0.000  0.000  0.000
Zr  0.284  0.716  0.500
Zr  0.716  0.284  0.500
As  0.000  0.500  0.000
As  0.198  0.198  0.500
As  0.500  0.000  0.000
As  0.500  0.500  0.000
As  0.802  0.802  0.500

Summary:
Space-group type: No. 65
Energy above the most stable polymorph in this dataset: 0.102 eV/atom
Volume: 19.27 Å³/atom
DFT total energy: -6.70 eV per atom
Total moment: 0.00 μB per cell
ΔE_f: -0.59 eV/atom



Here is ZrAs3 after structural relaxation from Alexandria. Energies are from PBE-GGA.

Cell: 12.089 12.089 12.089 Å, 162.16 162.16 25.33°
Sites, in units of the cell vectors:
Zr  0.158  0.158  0.000
Zr  0.842  0.842  0.000
As  0.000  0.500  0.500
As  0.250  0.750  0.500
As  0.382  0.382  0.000
As  0.500  0.000  0.500
As  0.618  0.618  0.000
As  0.750  0.250  0.500

Summary:
Space-group type: No. 139
Volume: 20.72 Å³/atom
DFT total energy: -5.98 eV per atom
Total moment: 0.00 μB per cell
ΔE_f: -0.35 eV/atom



Here is ZrAs3 after structural relaxation from Alexandria. Energies are from PBE-GGA.

Cell: 3.650 3.650 7.272 Å, 90.00 90.00 120.00°
Sites, in units of the cell vectors:
Zr  0.000  0.000  0.000
As  0.000  0.000  0.500
As  0.333  0.667  0.248
As  0.333  0.667  0.752

Summary:
Space-group type: No. 187
Volume: 20.98 Å³/atom
DFT total energy: -5.86 eV per atom
Total moment: 0.00 μB per cell
ΔE_f: -0.23 eV/atom



Here is Zr2As after structural relaxation from Alexandria. Energies are from PBE-GGA.

Cell: 4.365 4.365 3.546 Å, 90.00 90.00 90.00°
Sites, in units of the cell vectors:
Zr  0.000  0.500  0.000
Zr  0.500  0.000  0.000
As  0.000  0.000  0.500

Summary:
Space-group type: No. 123
Volume: 22.52 Å³/atom
DFT total energy: -7.73 eV per atom
Total moment: 0.00 μB per cell
ΔE_f: -0.48 eV/atom



Here is Zr5As2 after structural relaxation from Alexandria. Energies are from PBE-GGA.

Cell: 7.770 7.770 7.257 Å, 94.67 94.67 42.08°
Sites, in units of the cell vectors:
Zr  0.123  0.330  0.305
Zr  0.143  0.857  0.750
Zr  0.270  0.542  0.070
Zr  0.330  0.123  0.805
Zr  0.458  0.730  0.430
Zr  0.542  0.270  0.570
Zr  0.670  0.877  0.195
Zr  0.730  0.458  0.930
Zr  0.857  0.143  0.250
Zr  0.877  0.670  0.695
As  0.066  0.722  0.425
As  0.278  0.934  0.075
As  0.722  0.066  0.925
As  0.934  0.278  0.575

Summary:
Space-group type: No. 15
Volume: 20.89 Å³/atom
DFT total energy: -8.16 eV per atom
Total moment: 0.00 μB per cell
ΔE_f: -0.73 eV/atom



Here is Zr4As3 after structural relaxation from Alexandria. Energies are from PBE-GGA.

Cell: 10.876 10.876 10.876 Å, 160.57 160.57 27.61°
Sites, in units of the cell vectors:
Zr  0.068  0.068  0.000
Zr  0.340  0.340  0.000
Zr  0.660  0.660  0.000
Zr  0.932  0.932  0.000
As  0.199  0.199  0.000
As  0.500  0.500  0.000
As  0.801  0.801  0.000

Summary:
Space-group type: No. 139
Energy above the most stable polymorph in this dataset: 0.000 eV/atom
Volume: 20.32 Å³/atom
DFT total energy: -7.69 eV per atom
Total moment: 0.00 μB per cell
ΔE_f: -0.81 eV/atom



Here is ZrAs3 after structural relaxation from Alexandria. Energies are from PBE-GGA.

Cell: 5.337 5.337 5.337 Å, 90.00 90.00 90.00°
Sites, in units of the cell vectors:
Zr  0.000  0.000  0.000
Zr  0.500  0.500  0.500
As  0.000  0.250  0.500
As  0.000  0.750  0.500
As  0.250  0.500  0.000
As  0.500  0.000  0.250
As  0.500  0.000  0.750
As  0.750  0.500  0.000

Summary:
Space-group type: No. 223
Volume: 19.00 Å³/atom
DFT total energy: -5.94 eV per atom
Total moment: 0.00 μB per cell
ΔE_f: -0.31 eV/atom



Here is Zr2As after structural relaxation from Alexandria. Energies are from PBE-GGA.

Cell: 5.877 6.487 3.629 Å, 90.00 90.00 90.00°
Sites, in units of the cell vectors:
Zr  0.216  0.143  0.000
Zr  0.284  0.643  0.500
Zr  0.716  0.357  0.500
Zr  0.784  0.857  0.000
As  0.000  0.500  0.000
As  0.500  0.000  0.500

Summary:
Space-group type: No. 58
Volume: 23.06 Å³/atom
DFT total energy: -7.80 eV per atom
Total moment: 0.33 μB per cell
ΔE_f: -0.56 eV/atom



Here is ZrAs2 after structural relaxation from Alexandria. Energies are from PBE-GGA.

Cell: 5.569 6.794 3.814 Å, 90.00 90.00 90.00°
Sites, in units of the cell vectors:
Zr  0.000  0.000  0.000
Zr  0.500  0.500  0.500
As  0.170  0.384  0.000
As  0.330  0.884  0.500
As  0.670  0.116  0.500
As  0.830  0.616  0.000

Summary:
Space-group type: No. 58
Volume: 24.05 Å³/atom
DFT total energy: -6.36 eV per atom
Total moment: 0.00 μB per cell
ΔE_f: -0.41 eV/atom



Here is ZrAs3 after structural relaxation from Alexandria. Energies are from PBE-GGA.

Cell: 5.586 5.586 5.166 Å, 90.00 90.00 77.44°
Sites, in units of the cell vectors:
Zr  0.179  0.821  0.750
Zr  0.821  0.179  0.250
As  0.042  0.345  0.750
As  0.345  0.042  0.250
As  0.408  0.592  0.250
As  0.592  0.408  0.750
As  0.655  0.958  0.750
As  0.958  0.655  0.250

Summary:
Space-group type: No. 63
Volume: 19.67 Å³/atom
DFT total energy: -6.04 eV per atom
Total moment: 0.00 μB per cell
ΔE_f: -0.41 eV/atom



Here is Zr8As after structural relaxation from Alexandria. Energies are from PBE-GGA.

Cell: 7.123 7.123 7.123 Å, 95.17 95.17 145.05°
Sites, in units of the cell vectors:
Zr  0.000  0.329  0.329
Zr  0.000  0.671  0.671
Zr  0.329  0.000  0.329
Zr  0.340  0.340  0.679
Zr  0.340  0.660  0.000
Zr  0.660  0.340  0.000
Zr  0.660  0.660  0.321
Zr  0.671  0.000  0.671
As  0.000  0.000  0.000

Summary:
Space-group type: No. 139
Volume: 21.95 Å³/atom
DFT total energy: -8.29 eV per atom
Total moment: 0.00 μB per cell
ΔE_f: -0.18 eV/atom



Here is ZrAs2 after structural relaxation from Alexandria. Energies are from PBE-GGA.

Cell: 6.609 6.609 6.609 Å, 90.00 90.00 90.00°
Sites, in units of the cell vectors:
Zr  0.000  0.000  0.000
Zr  0.000  0.500  0.500
Zr  0.500  0.000  0.500
Zr  0.500  0.500  0.000
As  0.108  0.608  0.892
As  0.108  0.892  0.392
As  0.392  0.108  0.892
As  0.392  0.392  0.392
As  0.608  0.608  0.608
As  0.608  0.892  0.108
As  0.892  0.108  0.608
As  0.892  0.392  0.108

Summary:
Space-group type: No. 205
Volume: 24.05 Å³/atom
DFT total energy: -6.33 eV per atom
Total moment: 0.00 μB per cell
ΔE_f: -0.38 eV/atom



Here is ZrAs2 after structural relaxation from Alexandria. Energies are from PBE-GGA.

Cell: 3.330 3.330 6.316 Å, 90.00 90.00 120.00°
Sites, in units of the cell vectors:
Zr  0.000  0.000  0.000
As  0.333  0.667  0.321
As  0.667  0.333  0.679

Summary:
Space-group type: No. 164
Volume: 20.22 Å³/atom
DFT total energy: -6.25 eV per atom
Total moment: 0.00 μB per cell
ΔE_f: -0.30 eV/atom



Here is ZrAs5 after structural relaxation from Alexandria. Energies are from PBE-GGA.

Cell: 5.575 5.575 7.480 Å, 114.96 114.96 37.22°
Sites, in units of the cell vectors:
Zr  0.000  0.000  0.000
As  0.085  0.085  0.670
As  0.332  0.332  0.691
As  0.491  0.491  0.281
As  0.714  0.714  0.949
As  0.727  0.727  0.315

Summary:
Space-group type: No. 8
Energy above the most stable polymorph in this dataset: 0.000 eV/atom
Volume: 20.98 Å³/atom
DFT total energy: -5.49 eV per atom
Total moment: 0.00 μB per cell
ΔE_f: -0.19 eV/atom



Here is Zr3As2 after structural relaxation from Alexandria. Energies are from PBE-GGA.

Cell: 9.242 9.242 9.242 Å, 23.25 23.25 23.25°
Sites, in units of the cell vectors:
Zr  0.000  0.000  0.000
Zr  0.212  0.212  0.212
Zr  0.788  0.788  0.788
As  0.395  0.395  0.395
As  0.605  0.605  0.605

Summary:
Space-group type: No. 166
Energy above the most stable polymorph in this dataset: 0.194 eV/atom
Volume: 21.60 Å³/atom
DFT total energy: -7.85 eV per atom
Total moment: 0.00 μB per cell
ΔE_f: -0.87 eV/atom



Here is ZrAs3 after structural relaxation from Alexandria. Energies are from PBE-GGA.

Cell: 4.689 4.689 3.553 Å, 90.00 90.00 102.72°
Sites, in units of the cell vectors:
Zr  0.000  0.000  0.000
As  0.000  0.500  0.500
As  0.500  0.000  0.500
As  0.500  0.500  0.000

Summary:
Space-group type: No. 65
Volume: 19.05 Å³/atom
DFT total energy: -5.90 eV per atom
Total moment: 0.00 μB per cell
ΔE_f: -0.27 eV/atom



Here is ZrAs3 after structural relaxation from Alexandria. Energies are from PBE-GGA.

Cell: 5.574 5.574 5.574 Å, 137.99 137.99 60.91°
Sites, in units of the cell vectors:
Zr  0.000  0.000  0.000
As  0.250  0.750  0.500
As  0.500  0.500  0.000
As  0.750  0.250  0.500

Summary:
Space-group type: No. 139
Volume: 19.18 Å³/atom
DFT total energy: -5.92 eV per atom
Total moment: 0.00 μB per cell
ΔE_f: -0.29 eV/atom



Here is ZrAs2 after structural relaxation from Alexandria. Energies are from PBE-GGA.

Cell: 4.841 4.841 2.942 Å, 90.00 90.00 90.00°
Sites, in units of the cell vectors:
Zr  0.000  0.000  0.000
As  0.000  0.500  0.500
As  0.500  0.000  0.500

Summary:
Space-group type: No. 123
Volume: 22.99 Å³/atom
DFT total energy: -6.30 eV per atom
Total moment: 0.00 μB per cell
ΔE_f: -0.35 eV/atom